a) RbAsH2IrSe | PBE | optimized geometry

Volume = 20.35 Å³/atom
Space-group type = No. 1

Lattice parameters (Å, degrees): 4.2999 4.3715 6.6424 84.46 82.02 82.17
Sites, in units of the cell vectors:
Se 0.9504 0.9166 0.6808
Rb 0.3693 0.3520 0.9621
Ir 0.4906 0.8156 0.4434
As 0.7673 0.2974 0.3995
H 0.2521 0.7975 0.2829
H 0.7460 0.8156 0.2432

b) RbAsH2IrSe | PBE | optimized geometry

Volume = 21.16 Å³/atom
Space-group type = No. 6

Lattice parameters (Å, degrees): 5.3173 3.9836 6.0597 90.00 98.41 90.00
Sites, in units of the cell vectors:
Se 0.7346 0.0000 0.5490
H 0.3844 0.5000 0.8191
Rb 0.1784 0.5000 0.3310
Ir 0.6740 0.5000 0.7943
As 0.6503 0.0000 0.0249
H 0.3664 0.0000 0.0692

The calculated energies rank the structures as follows, beginning with the most stable: b), a).